Record 1
Density functional theory data (PBE-GGA) for a relaxed structure of TiZn6Rh.

Cell lengths 5.5430, 5.5430, 4.3560 Å; angles 90.00, 90.00, 120.00 degrees
Space group P-6m2 (No. 187)
Symmetry-distinct sites (fractional):
1 Ti 0.0000 0.0000 0.0000 [1 per cell]
2 Zn 0.0056 0.5028 0.0000 [3 per cell]
3 Zn 0.1661 0.3322 0.5000 [3 per cell]
4 Rh 0.6667 0.3333 0.5000 [1 per cell]

Values from the calculation:
The value obtained for the total magnetic moment is 0.0 Bohr magnetons per cell. The value obtained for the formation energy is -0.19 eV per atom. The uncorrected energy comes out at -3.056 eV per atom. For the calculated density, the calculation gives 7.78 g/cm³.



Record 2
Density functional theory data (PBE-GGA) for a relaxed structure of CsCa2InN.

Cell lengths 4.909, 4.909, 6.328 Å; angles 90.00, 90.00, 90.00 degrees
Space group P4/mmm (No. 123)
Symmetry-distinct sites (fractional):
1 Cs 0.000 0.000 0.000 [1 per cell]
2 Ca 0.000 0.500 0.500 [2 per cell]
3 In 0.500 0.500 0.000 [1 per cell]
4 N 0.000 0.000 0.500 [1 per cell]

Values from the calculation:
The value obtained for the total magnetic moment is 0.0 Bohr magnetons per cell. Its uncorrected formation energy is -0.45 eV per formula unit. The uncorrected energy comes out at -3.274 eV per atom. For the calculated density, the calculation gives 3.72 g/cm³.



Record 3
Density functional theory data (PBE-GGA) for a relaxed structure of AcGa2Pt2.

Cell lengths 4.455, 4.455, 10.459 Å; angles 90.00, 90.00, 90.00 degrees
Space group P4/nmm (No. 129, origin choice 2)
Symmetry-distinct sites (fractional):
1 Ac 0.250 0.250 0.248 [2 per cell]
2 Ga 0.250 0.250 0.624 [2 per cell]
3 Ga 0.250 0.750 0.000 [2 per cell]
4 Pt 0.250 0.250 0.870 [2 per cell]
5 Pt 0.250 0.750 0.500 [2 per cell]

Values from the calculation:
The value obtained for the total magnetic moment is 0.0 Bohr magnetons per cell. The value obtained for the formation energy is -0.97 eV per atom. The uncorrected energy comes out at -5.420 eV per atom. For the calculated density, the calculation gives 12.10 g/cm³.



Record 4
Density functional theory data (PBE-GGA) for a relaxed structure of Nd3HoTm2.

Cell lengths 13.171, 3.543, 17.672 Å; angles 90.00, 102.52, 90.00 degrees
Space group C2/m (No. 12)
Symmetry-distinct sites (fractional):
1 Nd 0.069 0.000 0.168 [4 per cell]
2 Nd 0.128 0.500 0.990 [4 per cell]
3 Nd 0.235 0.500 0.338 [4 per cell]
4 Ho 0.040 0.500 0.682 [4 per cell]
5 Tm 0.133 0.500 0.501 [4 per cell]
6 Tm 0.196 0.000 0.834 [4 per cell]

Values from the calculation:
The value obtained for the total magnetic moment is 0.0 Bohr magnetons per cell. The value obtained for the formation energy is 0.11 eV per atom. The uncorrected energy comes out at -4.527 eV per atom. For the calculated density, the calculation gives 7.72 g/cm³.



Record 5
Density functional theory data (PBE-GGA) for a relaxed structure of GaB2Ir3.

Cell lengths 6.553, 11.373, 4.170 Å; angles 90.00, 90.00, 90.00 degrees
Space group Cmcm (No. 63)
Symmetry-distinct sites (fractional):
1 Ga 0.000 0.176 0.250 [4 per cell]
2 B 0.173 0.500 0.000 [8 per cell]
3 Ir 0.000 0.366 0.750 [4 per cell]
4 Ir 0.217 0.151 0.750 [8 per cell]

Values from the calculation:
The value obtained for the total magnetic moment is 0.0 Bohr magnetons per cell. The value obtained for the formation energy is -0.13 eV per atom. The uncorrected energy comes out at -7.294 eV per atom. For the calculated density, the calculation gives 14.28 g/cm³.



Record 6
Density functional theory data (PBE-GGA) for a relaxed structure of Ho2ErPb3.

Cell lengths 9.724, 11.662, 6.342 Å; angles 90.00, 90.00, 90.00 degrees
Space group Cmc2_1 (No. 36)
Symmetry-distinct sites (fractional):
1 Ho 0.181 0.132 0.000 [8 per cell]
2 Er 0.000 0.367 0.238 [4 per cell]
3 Pb 0.000 0.349 0.740 [4 per cell]
4 Pb 0.175 0.132 0.495 [8 per cell]

Values from the calculation:
The value obtained for the total magnetic moment is 0.0 Bohr magnetons per cell. The value obtained for the formation energy is -0.26 eV per atom. The uncorrected energy comes out at -4.403 eV per atom. For the calculated density, the calculation gives 10.33 g/cm³.



Record 7
Density functional theory data (PBE-GGA) for a relaxed structure of BaZrBe.

Cell lengths 3.468, 3.468, 13.269 Å; angles 90.00, 90.00, 90.00 degrees
Space group I4mm (No. 107)
Symmetry-distinct sites (fractional):
1 Ba 0.000 0.000 0.000 [2 per cell]
2 Zr 0.000 0.000 0.265 [2 per cell]
3 Be 0.000 0.000 0.684 [2 per cell]

Values from the calculation:
The value obtained for the total magnetic moment is 0.0 Bohr magnetons per cell. The value obtained for the formation energy is 0.45 eV per atom. The uncorrected energy comes out at -4.278 eV per atom. For the calculated density, the calculation gives 4.94 g/cm³.



Record 8
Density functional theory data (PBE-GGA) for a relaxed structure of ZnAs2Se.

Cell lengths 3.808, 3.808, 5.783 Å; angles 90.00, 90.00, 90.00 degrees
Space group P4mm (No. 99)
Symmetry-distinct sites (fractional):
1 Zn 0.000 0.000 0.000 [1 per cell]
2 As 0.000 0.000 0.563 [1 per cell]
3 As 0.500 0.500 0.518 [1 per cell]
4 Se 0.500 0.500 0.095 [1 per cell]

Values from the calculation:
The value obtained for the total magnetic moment is 0.0 Bohr magnetons per cell. Its uncorrected formation energy is -0.38 eV per formula unit. The uncorrected energy comes out at -3.610 eV per atom. For the calculated density, the calculation gives 5.83 g/cm³.